Arrangement one

The following is a DFT calculation (meta-GGA SCAN) of a crystal of BaAg5 relaxed with PBEsol.

Lattice parameters (Å, degrees): 8.0147 4.6549 7.3635 90.00 90.18 90.00
With the nearest neighbours (Å) after each atom.
Space group C2/m (No. 12)
Symmetry-distinct sites (fractional):
Ba (0.0000, 0.0000, 0.0000) [2 per cell]  14 Ag 3.53-3.68
Ag (0.0000, 0.0000, 0.5000) [2 per cell]  12 Ag 2.99-3.02
Ag (0.1660, 0.5000, 0.6849) [4 per cell]  4 Ag 2.68-2.73
Ag (0.1683, 0.5000, 0.3144) [4 per cell]  5 Ag 2.68-2.99

Size of the total moment = 0.001 μB/cell

=====

Arrangement two

The following is a DFT calculation (meta-GGA SCAN) of a crystal of BaAg5 relaxed with PBEsol.

Lattice parameters (Å, degrees): 7.9468 7.9468 7.9468 90.00 90.00 90.00
With the nearest neighbours (Å) after each atom.
Space group F-43m (No. 216)
Symmetry-distinct sites (fractional):
Ba (0.0000, 0.0000, 0.0000) [4 per cell]  16 Ag 3.30-3.44
Ag (0.1238, 0.1238, 0.6238) [16 per cell]  6 Ag 2.78-2.84
Ag (0.2500, 0.2500, 0.2500) [4 per cell]  12 Ag 3.29, 4 Ba 3.44

Size of the total moment = 0.006 μB/cell

=====

Arrangement three

The following is a DFT calculation (meta-GGA SCAN) of a crystal of BaAg5 relaxed with PBEsol.

Lattice parameters (Å, degrees): 5.7421 5.7421 4.5486 90.00 90.00 120.00
With the nearest neighbours (Å) after each atom.
Space group P6/mmm (No. 191)
Symmetry-distinct sites (fractional):
Ba (0.0000, 0.0000, 0.0000) [1 per cell]  18 Ag 3.32-3.66
Ag (0.0000, 0.5000, 0.5000) [3 per cell]  8 Ag 2.81-2.87
Ag (0.3333, 0.6667, 0.0000) [2 per cell]  6 Ag 2.81

Size of the total moment = 0.001 μB/cell

=====

Here are the energies relative to the best structure, in kJ/mol of atoms: arrangement one 8.4; arrangement two 6.9; arrangement three 0.0.

=====

Arrangement one

The following is a DFT calculation (meta-GGA SCAN) of a crystal of BaAgBr relaxed with PBEsol.

Lattice parameters (Å, degrees): 4.9267 4.9267 5.1569 90.00 90.00 120.00
With the nearest neighbours (Å) after each atom.
Space group P3m1 (No. 156)
Symmetry-distinct sites (fractional):
Ba (0.0000, 0.0000, 0.0000) [1 per cell]  3 Br 3.24, 3 Ag 3.36
Ag (0.6667, 0.3333, 0.3472) [1 per cell]  3 Ba 3.36, 3 Br 3.38
Br (0.3333, 0.6667, 0.6999) [1 per cell]  3 Ba 3.24, 3 Ag 3.38

Size of the total moment = 0.000 μB/cell

=====

Arrangement two

The following is a DFT calculation (meta-GGA SCAN) of a crystal of BaAgBr relaxed with PBEsol.

Lattice parameters (Å, degrees): 7.5020 7.5020 7.5020 90.00 90.00 90.00
With the nearest neighbours (Å) after each atom.
Space group F-43m (No. 216)
Symmetry-distinct sites (fractional):
Ba (0.0000, 0.0000, 0.0000) [4 per cell]  4 Ag 3.25
Ag (0.2500, 0.2500, 0.2500) [4 per cell]  4 Ba 3.25, 4 Br 3.25
Br (0.0000, 0.0000, 0.5000) [4 per cell]  4 Ag 3.25

Size of the total moment = 0.000 μB/cell

=====

Here are the energies relative to the best structure, in kJ/mol of atoms: arrangement one 0.0; arrangement two 15.6.

=====

Arrangement one

The following is a DFT calculation (meta-GGA SCAN) of a crystal of Ba2AgBr relaxed with PBEsol.

Lattice parameters (Å, degrees): 4.7025 4.7025 6.7612 90.00 90.00 90.00
With the nearest neighbours (Å) after each atom.
Space group P4/mmm (No. 123)
Symmetry-distinct sites (fractional):
Ba (0.0000, 0.0000, 0.0000) [1 per cell]  4 Br 3.33, 2 Ag 3.38
Ba (0.5000, 0.5000, 0.5000) [1 per cell]  4 Ag 3.33, 2 Br 3.38
Ag (0.0000, 0.0000, 0.5000) [1 per cell]  6 Ba 3.33-3.38
Br (0.5000, 0.5000, 0.0000) [1 per cell]  6 Ba 3.33-3.38

Size of the total moment = 1.415 μB/cell

=====

Arrangement two

The following is a DFT calculation (meta-GGA SCAN) of a crystal of Ba2AgBr relaxed with PBEsol.

Lattice parameters (Å, degrees): 4.5952 4.5952 25.1907 90.00 90.00 120.00
With the nearest neighbours (Å) after each atom.
Space group R-3m (No. 166, hexagonal axes)
Symmetry-distinct sites (fractional):
Ba (0.0000, 0.0000, 0.2430) [6 per cell]  3 Ag 3.28, 3 Br 3.49
Ag (0.0000, 0.0000, 0.5000) [3 per cell]  6 Ba 3.28
Br (0.0000, 0.0000, 0.0000) [3 per cell]  6 Ba 3.49

Size of the total moment = 0.000 μB/cell

=====

Here are the energies relative to the best structure, in kJ/mol of atoms: arrangement one 2.7; arrangement two 0.0.

=====

Arrangement one

The following is a DFT calculation (meta-GGA SCAN) of a crystal of Ba2AgCl relaxed with PBEsol.

Lattice parameters (Å, degrees): 4.1234 4.2267 16.1297 90.00 90.00 90.00
With the nearest neighbours (Å) after each atom.
Space group Imm2 (No. 44)
Symmetry-distinct sites (fractional):
Ba (0.0000, 0.0000, 0.0000) [2 per cell]  4 Ag 3.32, 2 Cl 3.42
Ba (0.0000, 0.5000, 0.2474) [2 per cell]  4 Cl 3.21, 2 Ag 3.32
Ag (0.0000, 0.0000, 0.4058) [2 per cell]  6 Ba 3.32
Cl (0.0000, 0.5000, 0.6689) [2 per cell]  6 Ba 3.21-3.42

Size of the total moment = 0.002 μB/cell

=====

Arrangement two

The following is a DFT calculation (meta-GGA SCAN) of a crystal of Ba2AgCl relaxed with PBEsol.

Lattice parameters (Å, degrees): 4.3636 4.1969 16.1769 90.00 90.00 90.00
With the nearest neighbours (Å) after each atom.
Space group Amm2 (No. 38)
Symmetry-distinct sites (fractional):
Ba (0.0000, 0.0000, 0.0000) [2 per cell]  4 Cl 3.17, 2 Ag 3.40
Ba (0.5000, 0.0000, 0.2511) [2 per cell]  1 Cl 3.09, 4 Ag 3.33
Ag (0.0000, 0.0000, 0.6654) [2 per cell]  6 Ba 3.33-3.40
Cl (0.5000, 0.0000, 0.4421) [2 per cell]  5 Ba 3.09-3.17

Size of the total moment = 0.001 μB/cell

=====

Arrangement three

The following is a DFT calculation (meta-GGA SCAN) of a crystal of Ba2AgCl relaxed with PBEsol.

Lattice parameters (Å, degrees): 8.0022 8.0022 8.0022 90.00 90.00 90.00
With the nearest neighbours (Å) after each atom.
Space group Fm-3m (No. 225)
Symmetry-distinct sites (fractional):
Ba (0.2500, 0.2500, 0.2500) [8 per cell]  4 Cl 3.47, 4 Ag 3.47
Ag (0.0000, 0.0000, 0.0000) [4 per cell]  8 Ba 3.47
Cl (0.0000, 0.0000, 0.5000) [4 per cell]  8 Ba 3.47

Size of the total moment = 5.385 μB/cell

=====

Here are the energies relative to the best structure, in kJ/mol of atoms: arrangement one 4.4; arrangement two 0.0; arrangement three 12.7.